Entry 1:
The following is a DFT calculation (PBE) of a relaxed ZnAs2 crystal.

Unit cell a=5.5615 b=5.5615 c=5.5615 alpha=60.00 beta=60.00 gamma=60.00
Fractional positions:
1 As 0.1250 0.1250 0.1250
2 As 0.1250 0.6250 0.1250
3 As 0.1250 0.1250 0.6250
4 As 0.6250 0.1250 0.1250
5 Zn 0.5000 0.5000 0.5000
6 Zn 0.7500 0.7500 0.7500

Properties
**Formation energy**: 0.40 eV per atom
**Volume**: 20.27 Å³ per atom
**Symmetry**: No. 227

---

Entry 2:
The following is a DFT calculation (PBE) of a relaxed Dy2AlNi4Ge3 crystal.

Unit cell a=4.0397 b=4.0397 c=9.8516 alpha=90.00 beta=90.00 gamma=90.00
Fractional positions:
1 Dy 0.0000 0.5000 0.7531
2 Dy 0.5000 0.0000 0.2469
3 Ge 0.0000 0.0000 0.5000
4 Ge 0.0000 0.5000 0.1289
5 Ge 0.5000 0.0000 0.8711
6 Al 0.5000 0.5000 0.5000
7 Ni 0.0000 0.0000 0.0000
8 Ni 0.5000 0.0000 0.6341
9 Ni 0.5000 0.5000 0.0000
10 Ni 0.0000 0.5000 0.3659

Properties
**Formation energy**: -0.71 eV per atom
**Volume**: 16.08 Å³ per atom
**Symmetry**: No. 115

---

Entry 3:
The following is a DFT calculation (PBE) of a relaxed CuRhS2 crystal.

Unit cell a=5.2965 b=3.4766 c=14.8829 alpha=90.00 beta=90.00 gamma=90.00
Fractional positions:
1 S 0.3058 0.2500 0.6731
2 S 0.6942 0.7500 0.3269
3 S 0.7679 0.2500 0.5339
4 S 0.2679 0.2500 0.9661
5 S 0.7321 0.7500 0.0339
6 S 0.1942 0.7500 0.1731
7 S 0.8058 0.2500 0.8269
8 S 0.2321 0.7500 0.4661
9 Rh 0.9829 0.2500 0.0944
10 Rh 0.5171 0.7500 0.5944
11 Rh 0.0171 0.7500 0.9056
12 Rh 0.4829 0.2500 0.4056
13 Cu 0.6236 0.7500 0.1779
14 Cu 0.1236 0.7500 0.3221
15 Cu 0.8764 0.2500 0.6779
16 Cu 0.3764 0.2500 0.8221

Properties
**Volume**: 17.13 Å³ per atom
**Formation energy from raw total energies**: -0.2159 eV/atom
**Symmetry**: No. 62

---

Entry 4:
The following is a DFT calculation (PBE) of a relaxed Ba2ZnWN4 crystal.

Unit cell a=4.9783 b=6.4550 c=10.4315 alpha=84.72 beta=76.19 gamma=67.32
Fractional positions:
1 Zn 0.0000 0.0000 0.0000
2 Zn 0.7500 0.5000 0.5000
3 N 0.5824 0.1912 0.1017
4 N 0.2264 0.1912 0.8983
5 N 0.4341 0.6912 0.3983
6 N 0.5236 0.3088 0.6017
7 N 0.1676 0.3088 0.3983
8 N 0.8746 0.6912 0.6017
9 N 0.3159 0.8088 0.1017
10 N 0.8754 0.8088 0.8983
11 Ba 0.1739 0.0000 0.6521
12 Ba 0.5761 0.5000 0.8479
13 Ba 0.8261 0.0000 0.3479
14 Ba 0.9239 0.5000 0.1521
15 W 0.2500 0.5000 0.5000
16 W 0.5000 0.0000 0.0000

Properties
**Volume**: 18.77 Å³ per atom
**Formation energy from raw total energies**: -0.5033 eV/atom
**Symmetry**: No. 70

---

Entry 5:
The following is a DFT calculation (PBE) of a relaxed ReS3N crystal.

Unit cell a=3.9868 b=3.9868 c=3.9868 alpha=90.00 beta=90.00 gamma=90.00
Fractional positions:
1 N 0.0000 0.0000 0.0000
2 Re 0.5000 0.5000 0.5000
3 S 0.5000 0.0000 0.0000
4 S 0.0000 0.5000 0.0000
5 S 0.0000 0.0000 0.5000

Properties
**Distance to the lowest polymorph of the same formula**: 0.671 eV/f.u.
**Volume**: 12.67 Å³ per atom
**Formation energy from raw total energies**: 1.4205 eV/atom
**Symmetry**: No. 221

---

Entry 6:
The following is a DFT calculation (PBE) of a relaxed CeDyNiRh crystal.

Unit cell a=3.6920 b=4.4717 c=5.3608 alpha=90.00 beta=110.14 gamma=90.00
Fractional positions:
1 Rh 0.5900 0.5000 0.1800
2 Ce 0.8576 0.5000 0.7152
3 Ni 0.4163 0.0000 0.8326
4 Dy 0.1361 0.0000 0.2722

Properties
**Distance to the lowest polymorph of the same formula**: 0.000 eV/f.u.
**Formation energy**: -0.61 eV per atom
**Volume**: 20.77 Å³ per atom
**Symmetry**: No. 38

---

Entry 7:
The following is a DFT calculation (PBE) of a relaxed Co2TcPb crystal.

Unit cell a=8.6971 b=8.6971 c=8.6971 alpha=19.48 beta=19.48 gamma=19.48
Fractional positions:
1 Co 0.2626 0.2626 0.2626
2 Co 0.9970 0.9970 0.9970
3 Tc 0.7379 0.7379 0.7379
4 Pb 0.5026 0.5026 0.5026

Properties
**Formation energy**: 0.71 eV per atom
**Volume**: 15.99 Å³ per atom
**Symmetry**: No. 160

---

Entry 8:
The following is a DFT calculation (PBE) of a relaxed ZnSbOs3 crystal.

Unit cell a=4.8178 b=4.8178 c=4.8178 alpha=90.00 beta=90.00 gamma=90.00
Fractional positions:
1 Os 0.0000 0.5000 0.0000
2 Os 0.5000 0.0000 0.0000
3 Os 0.0000 0.0000 0.5000
4 Zn 0.5000 0.5000 0.5000
5 Sb 0.0000 0.0000 0.0000

Properties
**Distance to the lowest polymorph of the same formula**: 2.544 eV/f.u.
**Volume**: 22.37 Å³ per atom
**Formation energy from raw total energies**: 2.4275 eV/atom
**Symmetry**: No. 221

---

Entry 9:
The following is a DFT calculation (PBE) of a relaxed LiCo2Cl2 crystal.

Unit cell a=5.5238 b=5.5238 c=5.5238 alpha=132.66 beta=132.66 gamma=69.20
Fractional positions:
1 Cl 0.7500 0.2500 0.5000
2 Cl 0.2500 0.7500 0.5000
3 Co 0.3780 0.3780 0.0000
4 Co 0.6220 0.6220 0.0000
5 Li 0.0000 0.0000 0.0000

Properties
**Volume**: 17.89 Å³ per atom
**Formation energy from raw total energies**: 0.0660 eV/atom
**Symmetry**: No. 139

---

Entry 10:
The following is a DFT calculation (PBE) of a relaxed Mn2VPt3 crystal.

Unit cell a=2.8214 b=2.8214 c=11.1384 alpha=90.00 beta=90.00 gamma=90.00
Fractional positions:
1 Pt 0.0000 0.0000 0.3369
2 Pt 0.0000 0.0000 0.6631
3 Pt 0.0000 0.0000 0.0000
4 Mn 0.5000 0.5000 0.1651
5 Mn 0.5000 0.5000 0.8349
6 V 0.5000 0.5000 0.5000

Properties
**Formation energy**: -0.41 eV per atom
**Volume**: 14.78 Å³ per atom
**Symmetry**: No. 123

---

Entry 11:
The following is a DFT calculation (PBE) of a relaxed Cs3K3Na crystal.

Unit cell a=8.8085 b=8.8085 c=16.4216 alpha=94.45 beta=94.45 gamma=108.17
Fractional positions:
1 Cs 0.3082 0.6918 0.0000
2 Cs 0.8318 0.1682 0.5000
3 Cs 0.1682 0.8318 0.5000
4 Cs 0.5384 0.5384 0.3504
5 Cs 0.4616 0.4616 0.6496
6 Cs 0.6918 0.3082 0.0000
7 K 0.5826 0.9880 0.7492
8 K 0.1256 0.1256 0.8108
9 K 0.9880 0.5826 0.7492
10 K 0.4174 0.0120 0.2508
11 K 0.8744 0.8744 0.1892
12 K 0.0120 0.4174 0.2508
13 Na 0.1772 0.1772 0.0621
14 Na 0.8228 0.8228 0.9379

Properties
**Formation energy**: 0.03 eV per atom
**Volume**: 85.71 Å³ per atom
**Symmetry**: No. 12

---

Entry 12:
The following is a DFT calculation (PBE) of a relaxed LaP4Pb crystal.

Unit cell a=5.5654 b=5.5654 c=5.5654 alpha=60.00 beta=60.00 gamma=60.00
Fractional positions:
1 P 0.3895 0.3895 0.8315
2 P 0.8315 0.3895 0.3895
3 P 0.3895 0.3895 0.3895
4 P 0.3895 0.8315 0.3895
5 La 0.0000 0.0000 0.0000
6 Pb 0.7500 0.7500 0.7500

Properties
**Formation energy**: -0.07 eV per atom
**Volume**: 20.32 Å³ per atom
**Symmetry**: No. 216

---

Entry 13:
The following is a DFT calculation (PBE) of a relaxed Pm2FeCl crystal.

Unit cell a=3.8511 b=3.8511 c=8.0837 alpha=76.22 beta=76.22 gamma=60.00
Fractional positions:
1 Pm 0.7371 0.7371 0.7887
2 Pm 0.2629 0.2629 0.2113
3 Fe 0.0000 0.0000 0.0000
4 Cl 0.5000 0.5000 0.5000

Properties
**Distance to the lowest polymorph of the same formula**: 0.000 eV/f.u.
**Volume**: 24.96 Å³ per atom
**Formation energy from raw total energies**: -0.5930 eV/atom
**Symmetry**: No. 166

---

Entry 14:
The following is a DFT calculation (PBE) of a relaxed LiLa2H4 crystal.

Unit cell a=3.7557 b=3.7557 c=7.0278 alpha=74.50 beta=74.50 gamma=90.00
Fractional positions:
1 H 0.1585 0.1585 0.6829
2 H 0.0000 0.5000 0.0000
3 H 0.5000 0.0000 0.0000
4 H 0.8415 0.8415 0.3171
5 Li 0.0000 0.0000 0.0000
6 La 0.3494 0.3494 0.3013
7 La 0.6506 0.6506 0.6987

Properties
**Raw total energy**: -4.040 eV/atom
**Volume**: 13.11 Å³ per atom
**Symmetry**: No. 139

---

Entry 15:
The following is a DFT calculation (PBE) of a relaxed CsNa2As crystal.

Unit cell a=5.5251 b=5.5251 c=5.5251 alpha=60.00 beta=60.00 gamma=60.00
Fractional positions:
1 Na 0.2500 0.2500 0.2500
2 Na 0.7500 0.7500 0.7500
3 As 0.0000 0.0000 0.0000
4 Cs 0.5000 0.5000 0.5000

Properties
**Formation energy**: -0.26 eV per atom
**Volume**: 29.82 Å³ per atom
**Symmetry**: No. 225

---

Entry 16:
The following is a DFT calculation (PBE) of a relaxed AcGa2Bi crystal.

Unit cell a=5.4180 b=5.4180 c=5.4180 alpha=60.00 beta=60.00 gamma=60.00
Fractional positions:
1 Bi 0.5000 0.5000 0.5000
2 Ac 0.0000 0.0000 0.0000
3 Ga 0.7500 0.7500 0.7500
4 Ga 0.2500 0.2500 0.2500

Properties
**Distance to the lowest polymorph of the same formula**: 0.649 eV/f.u.
**Formation energy**: -0.28 eV per atom
**Volume**: 28.12 Å³ per atom
**Symmetry**: No. 225

---

Entry 17:
The following is a DFT calculation (PBE) of a relaxed NbSiOs crystal.

Unit cell a=4.9721 b=5.2369 c=6.8815 alpha=90.00 beta=90.00 gamma=90.00
Fractional positions:
1 Nb 0.5000 0.2500 0.6211
2 Nb 0.5000 0.7500 0.3789
3 Nb 0.0000 0.7500 0.1211
4 Nb 0.0000 0.2500 0.8789
5 Os 0.0000 0.0000 0.5000
6 Os 0.0000 0.5000 0.5000
7 Os 0.5000 0.5000 0.0000
8 Os 0.5000 0.0000 0.0000
9 Si 0.2500 0.7500 0.7500
10 Si 0.7500 0.2500 0.2500
11 Si 0.7500 0.7500 0.7500
12 Si 0.2500 0.2500 0.2500

Properties
**Volume**: 14.93 Å³ per atom
**Formation energy from raw total energies**: -0.3990 eV/atom
**Symmetry**: No. 74

---

Entry 18:
The following is a DFT calculation (PBE) of a relaxed Cd2InFeC crystal.

Unit cell a=5.0409 b=4.9798 c=5.0409 alpha=90.00 beta=90.00 gamma=90.00
Fractional positions:
1 C 0.5000 0.5000 0.5000
2 Cd 0.5000 0.0000 0.0000
3 Cd 0.0000 0.0000 0.5000
4 In 0.0000 0.5000 0.0000
5 Fe 0.0000 0.0000 0.0000

Properties
**Formation energy**: 1.69 eV per atom
**Volume**: 25.31 Å³ per atom
**Symmetry**: No. 123

---

Entry 19:
The following is a DFT calculation (PBE) of a relaxed Sr3LiSb2O9 crystal.

Unit cell a=5.6971 b=5.6971 c=7.1010 alpha=90.00 beta=90.00 gamma=120.00
Fractional positions:
1 O 0.0000 0.5000 0.0000
2 O 0.1690 0.3381 0.3240
3 O 0.3381 0.1690 0.6760
4 O 0.8310 0.1690 0.6760
5 O 0.6619 0.8310 0.3240
6 O 0.8310 0.6619 0.6760
7 O 0.5000 0.5000 0.0000
8 O 0.1690 0.8310 0.3240
9 O 0.5000 0.0000 0.0000
10 Sb 0.3333 0.6667 0.1710
11 Sb 0.6667 0.3333 0.8290
12 Sr 0.6667 0.3333 0.3567
13 Sr 0.3333 0.6667 0.6433
14 Sr 0.0000 0.0000 0.0000
15 Li 0.0000 0.0000 0.5000

Properties
**Volume**: 13.31 Å³ per atom
**Formation energy from raw total energies**: -2.0576 eV/atom
**Symmetry**: No. 164

---

Entry 20:
The following is a DFT calculation (PBE) of a relaxed IrRuRh2 crystal.

Unit cell a=2.7210 b=3.8436 c=5.4249 alpha=90.00 beta=90.00 gamma=90.00
Fractional positions:
1 Rh 0.5000 0.5000 0.2527
2 Rh 0.0000 0.0000 0.9994
3 Ir 0.5000 0.5000 0.7449
4 Ru 0.0000 0.0000 0.5030

Properties
**Distance to the lowest polymorph of the same formula**: 0.011 eV/f.u.
**Formation energy**: -0.01 eV per atom
**Volume**: 14.18 Å³ per atom
**Symmetry**: No. 25

---

Entry 21:
The following is a DFT calculation (PBE) of a relaxed Ag2GeBi crystal.

Unit cell a=4.3922 b=4.4612 c=4.4612 alpha=90.00 beta=90.00 gamma=90.00
Fractional positions:
1 Ge 0.5000 0.5000 0.5000
2 Ag 0.0000 0.0000 0.5000
3 Ag 0.0000 0.5000 0.0000
4 Bi 0.5000 0.0000 0.0000

Properties
**Distance to the lowest polymorph of the same formula**: 0.078 eV/f.u.
**Formation energy**: 0.18 eV per atom
**Volume**: 21.85 Å³ per atom
**Symmetry**: No. 123

---

Entry 22:
The following is a DFT calculation (PBE) of a relaxed Li2SnAsS4 crystal.

Unit cell a=5.6907 b=5.9066 c=9.9579 alpha=90.00 beta=90.00 gamma=90.00
Fractional positions:
1 Li 0.4646 0.3025 0.2504
2 Li 0.4646 0.3025 0.7496
3 Li 0.9646 0.6975 0.7504
4 Li 0.9646 0.6975 0.2496
5 S 0.8854 0.7769 0.0000
6 S 0.9251 0.8121 0.5000
7 S 0.4123 0.7258 0.7568
8 S 0.4123 0.7258 0.2432
9 S 0.4251 0.1879 0.0000
10 S 0.9123 0.2742 0.7432
11 S 0.9123 0.2742 0.2568
12 S 0.3854 0.2231 0.5000
13 Sn 0.9572 0.2131 0.0000
14 Sn 0.4572 0.7869 0.5000
15 As 0.4785 0.8006 0.0000
16 As 0.9785 0.1994 0.5000

Properties
**Volume**: 20.92 Å³ per atom
**Formation energy from raw total energies**: -0.6292 eV/atom
**Symmetry**: No. 31

---

Entry 23:
The following is a DFT calculation (PBE) of a relaxed Pr2AgPdO5 crystal.

Unit cell a=5.7884 b=6.9086 c=6.9086 alpha=90.00 beta=90.00 gamma=90.00
Fractional positions:
1 Pr 0.5000 0.3248 0.8248
2 Pr 0.5000 0.8248 0.6752
3 Pr 0.5000 0.6752 0.1752
4 Pr 0.5000 0.1752 0.3248
5 O 0.7463 0.8650 0.3650
6 O 0.5000 0.0000 0.0000
7 O 0.7463 0.3650 0.1350
8 O 0.7463 0.6350 0.8650
9 O 0.2537 0.8650 0.3650
10 O 0.7463 0.1350 0.6350
11 O 0.2537 0.3650 0.1350
12 O 0.5000 0.5000 0.5000
13 O 0.2537 0.6350 0.8650
14 O 0.2537 0.1350 0.6350
15 Pd 0.0000 0.5000 0.0000
16 Pd 0.0000 0.0000 0.5000
17 Ag 0.0000 0.0000 0.0000
18 Ag 0.0000 0.5000 0.5000

Properties
**Volume**: 15.35 Å³ per atom
**Formation energy from raw total energies**: -1.8219 eV/atom
**Symmetry**: No. 127

---

Entry 24:
The following is a DFT calculation (PBE) of a relaxed Tb3DyIn4 crystal.

Unit cell a=3.4643 b=6.9069 c=10.3746 alpha=109.45 beta=99.61 gamma=90.00
Fractional positions:
1 In 0.6264 0.8456 0.2527
2 In 0.3736 0.1544 0.7473
3 In 0.3737 0.5927 0.7474
4 In 0.6263 0.4073 0.2526
5 Tb 0.7759 0.7758 0.5519
6 Tb 0.0000 0.5000 0.0000
7 Tb 0.2241 0.2242 0.4481
8 Dy 0.5000 0.0000 0.0000

Properties
**Distance to the lowest polymorph of the same formula**: 1.299 eV/f.u.
**Formation energy**: -0.31 eV per atom
**Volume**: 28.80 Å³ per atom
**Symmetry**: No. 71